1.
DFT (PBE) results for an optimized crystal structure of La2S2Cl.

Cell lengths 4.238, 5.701, 7.367 Å; angles 112.76, 106.72, 90.00 degrees
Atoms (fractional coordinates):
La1 0.667 0.167 0.334
Cl1 0.000 0.000 0.000
S1 0.316 0.316 0.631
La2 0.333 0.833 0.666
S2 0.684 0.684 0.369

Calculated values
volume = 31.184 A^3/atom
formation energy (no corrections) = -2.077 eV per atom
relative energy among the computed polymorphs = 96 meV/atom
uncorrected energy = -30.34 eV for the cell shown
space group = Immm, No. 71

2.
DFT (PBE) results for an optimized crystal structure of La2SCl2.

Cell lengths 7.180, 7.917, 10.867 Å; angles 90.00, 71.58, 90.00 degrees
Atoms (fractional coordinates):
Cl1 0.879 0.792 0.022
S1 0.507 0.379 0.329
Cl2 0.379 0.708 0.022
La1 0.255 0.378 0.178
La2 0.245 0.878 0.822
La3 0.245 0.121 0.494
S2 0.493 0.621 0.671
S3 0.007 0.121 0.329
La4 0.745 0.379 0.494
S4 0.993 0.879 0.671
Cl3 0.505 0.866 0.328
La5 0.745 0.622 0.822
Cl4 0.495 0.134 0.672
Cl5 0.995 0.366 0.672
Cl6 0.121 0.208 0.978
Cl7 0.005 0.634 0.328
La6 0.755 0.879 0.506
Cl8 0.621 0.292 0.978
La7 0.755 0.122 0.178
La8 0.255 0.621 0.506

Calculated values
volume = 29.305 A^3/atom
formation energy (no corrections) = -2.055 eV per atom
uncorrected energy = -111.79 eV for the cell shown
space group = P2_1/c, No. 14

3.
DFT (PBE) results for an optimized crystal structure of La4S2Cl3.

Cell lengths 4.166, 4.166, 16.928 Å; angles 90.06, 89.94, 120.00 degrees
Atoms (fractional coordinates):
Cl1 0.334 0.666 0.605
La1 0.999 0.001 0.294
Cl2 0.000 0.000 0.000
La2 0.334 0.666 0.890
La3 0.001 0.999 0.706
S1 0.333 0.667 0.202
La4 0.666 0.334 0.110
S2 0.667 0.333 0.798
Cl3 0.666 0.334 0.395

Calculated values
volume = 28.276 A^3/atom
formation energy (no corrections) = -2.058 eV per atom
uncorrected energy = -52.03 eV for the cell shown
space group = C2/m, No. 12

4.
DFT (PBE) results for an optimized crystal structure of La2S2Cl.

Cell lengths 7.972, 7.972, 3.820 Å; angles 90.00, 90.00, 90.00 degrees
Atoms (fractional coordinates):
La1 0.159 0.341 0.000
S1 0.141 0.641 0.500
Cl1 0.000 0.000 0.000
La2 0.659 0.159 0.000
Cl2 0.500 0.500 0.000
S2 0.641 0.859 0.500
S3 0.359 0.141 0.500
La3 0.341 0.841 0.000
S4 0.859 0.359 0.500
La4 0.841 0.659 0.000

Calculated values
volume = 24.275 A^3/atom
formation energy (no corrections) = -2.173 eV per atom
relative energy among the computed polymorphs = 0 meV/atom
uncorrected energy = -61.64 eV for the cell shown
space group = P4/mbm, No. 127

5.
DFT (PBE) results for an optimized crystal structure of LaSCl2.

Cell lengths 9.698, 9.698, 9.698 Å; angles 24.83, 24.83, 24.83 degrees
Atoms (fractional coordinates):
Cl1 0.888 0.888 0.888
La1 0.500 0.500 0.500
S1 0.000 0.000 0.000
Cl2 0.112 0.112 0.112

Calculated values
volume = 35.368 A^3/atom
formation energy (no corrections) = -0.916 eV per atom
relative energy among the computed polymorphs = 503 meV/atom
uncorrected energy = -16.41 eV for the cell shown
space group = R-3m, No. 166

6.
DFT (PBE) results for an optimized crystal structure of LaS2Cl.

Cell lengths 7.801, 7.801, 7.801 Å; angles 33.23, 33.23, 33.23 degrees
Atoms (fractional coordinates):
S1 0.107 0.107 0.107
La1 0.500 0.500 0.500
Cl1 0.000 0.000 0.000
S2 0.893 0.893 0.893

Calculated values
volume = 31.733 A^3/atom
formation energy (no corrections) = -1.241 eV per atom
relative energy among the computed polymorphs = 144 meV/atom
uncorrected energy = -19.99 eV for the cell shown
space group = R-3m, No. 166

7.
DFT (PBE) results for an optimized crystal structure of LaSCl.

Cell lengths 6.557, 4.362, 4.362 Å; angles 120.00, 90.00, 90.00 degrees
Atoms (fractional coordinates):
Cl1 0.777 0.667 0.333
La1 0.021 0.000 0.000
S1 0.202 0.333 0.667

Calculated values
volume = 36.017 A^3/atom
formation energy (no corrections) = -2.178 eV per atom
uncorrected energy = -17.43 eV for the cell shown
space group = P3m1, No. 156

8.
DFT (PBE) results for an optimized crystal structure of LaSCl2.

Cell lengths 11.495, 11.495, 11.495 Å; angles 20.60, 20.60, 20.60 degrees
Atoms (fractional coordinates):
S1 0.500 0.500 0.500
La1 0.000 0.000 0.000
Cl1 0.924 0.924 0.924
Cl2 0.076 0.076 0.076

Calculated values
volume = 41.142 A^3/atom
formation energy (no corrections) = -0.250 eV per atom
relative energy among the computed polymorphs = 1169 meV/atom
uncorrected energy = -13.75 eV for the cell shown
space group = R-3m, No. 166

9.
DFT (PBE) results for an optimized crystal structure of LaSCl.

Cell lengths 4.848, 4.848, 4.848 Å; angles 60.00, 60.00, 60.00 degrees
Atoms (fractional coordinates):
S1 0.500 0.500 0.500
Cl1 0.000 0.000 0.000
La1 0.250 0.250 0.250

Calculated values
volume = 26.857 A^3/atom
formation energy (no corrections) = -2.252 eV per atom
uncorrected energy = -17.66 eV for the cell shown
space group = F-43m, No. 216

10.
DFT (PBE) results for an optimized crystal structure of La3SCl3.

Cell lengths 10.090, 10.090, 10.090 Å; angles 109.47, 109.47, 109.47 degrees
Atoms (fractional coordinates):
Cl1 0.750 0.756 0.744
Cl2 0.244 0.250 0.756
La1 0.991 0.750 0.009
La2 0.250 0.009 0.491
Cl3 0.750 0.994 0.506
La3 0.991 0.241 0.482
La4 0.509 0.018 0.259
S1 0.750 0.500 0.000
S2 0.000 0.000 0.250
Cl4 0.006 0.250 0.994
Cl5 0.256 0.511 0.506
Cl6 0.256 0.744 0.250
La5 0.509 0.491 0.750
La6 0.759 0.750 0.241
S3 0.750 0.250 0.250
Cl7 0.489 0.744 0.994
La7 0.250 0.241 0.259
S4 0.500 0.250 0.500
Cl8 0.494 0.989 0.744
Cl9 0.494 0.506 0.250
La8 0.518 0.259 0.009
La9 0.759 0.009 0.018
Cl10 0.011 0.506 0.756
Cl11 0.244 0.994 0.989
Cl12 0.006 0.756 0.511
La10 0.741 0.482 0.491
La11 0.982 0.491 0.241
La12 0.741 0.259 0.750

Calculated values
volume = 28.241 A^3/atom
formation energy (no corrections) = -2.032 eV per atom
uncorrected energy = -154.70 eV for the cell shown
space group = I4_132, No. 214

11.
DFT (PBE) results for an optimized crystal structure of La3S2Cl2.

Cell lengths 4.091, 7.428, 7.145 Å; angles 101.37, 106.64, 90.00 degrees
Atoms (fractional coordinates):
La1 0.758 0.221 0.516
S1 0.383 0.131 0.767
Cl1 0.135 0.374 0.271
La2 0.242 0.779 0.484
La3 0.000 0.000 0.000
S2 0.617 0.869 0.233
Cl2 0.865 0.626 0.729

Calculated values
volume = 29.086 A^3/atom
formation energy (no corrections) = -2.075 eV per atom
uncorrected energy = -41.25 eV for the cell shown
space group = C2/m, No. 12

12.
DFT (PBE) results for an optimized crystal structure of LaSCl.

Cell lengths 7.175, 7.175, 8.219 Å; angles 109.72, 109.72, 103.12 degrees
Atoms (fractional coordinates):
S1 0.359 0.897 0.244
La1 0.497 0.102 0.036
S2 0.147 0.109 0.744
La2 0.352 0.247 0.536
S3 0.653 0.114 0.756
S4 0.364 0.403 0.256
Cl1 0.858 0.520 0.230
La3 0.710 0.816 0.464
Cl2 0.878 0.041 0.270
Cl3 0.770 0.608 0.730
Cl4 0.291 0.628 0.770
La4 0.066 0.460 0.964

Calculated values
volume = 28.843 A^3/atom
formation energy (no corrections) = -2.310 eV per atom
uncorrected energy = -71.33 eV for the cell shown
space group = Fdd2, No. 43